Entry 1:
First-principles (PBE-GGA) data for an optimized crystal structure of SrZn3Br, as listed in Alexandria.

## Properties
Energy relative to the elements, uncorrected in meV per atom: 294
E in eV/atom: -1.1416
ΔE to the lowest computed polymorph in meV per atom: 0.0

```
data_SrZn3Br
_chemical_formula_sum 'Sr1 Zn3 Br1'
_space_group_name_H-M_alt 'P m -3 m'
_space_group_IT_number 221
_space_group_name_Hall '-P 4 2 3'
_cell_length_a 5.498
_cell_length_b 5.498
_cell_length_c 5.498
_cell_angle_alpha 90.00
_cell_angle_beta 90.00
_cell_angle_gamma 90.00
loop_
_atom_site_label
_atom_site_type_symbol
_atom_site_fract_x
_atom_site_fract_y
_atom_site_fract_z
_atom_site_occupancy
Sr1 Sr 0.000 0.000 0.000 1
Zn1 Zn 0.000 0.500 0.500 1
Br1 Br 0.500 0.500 0.500 1
```

***

Entry 2:
First-principles (PBE-GGA) data for an optimized crystal structure of NbPb3Se, as listed in Alexandria.

## Properties
Energy relative to the elements, uncorrected in meV per atom: 1110
E in eV/atom: -3.8263
ΔE to the lowest computed polymorph in meV per atom: 585.0

```
data_NbPb3Se
_chemical_formula_sum 'Nb1 Pb3 Se1'
_space_group_name_H-M_alt 'P m -3 m'
_space_group_IT_number 221
_space_group_name_Hall '-P 4 2 3'
_cell_length_a 5.520
_cell_length_b 5.520
_cell_length_c 5.520
_cell_angle_alpha 90.00
_cell_angle_beta 90.00
_cell_angle_gamma 90.00
loop_
_atom_site_label
_atom_site_type_symbol
_atom_site_fract_x
_atom_site_fract_y
_atom_site_fract_z
_atom_site_occupancy
Nb1 Nb 0.000 0.000 0.000 1
Pb1 Pb 0.000 0.500 0.500 1
Se1 Se 0.500 0.500 0.500 1
```

***

Entry 3:
First-principles (PBE-GGA) data for an optimized crystal structure of PmNdYHg, as listed in Alexandria.

## Properties
E in eV/atom: -4.1175
ΔE to the lowest computed polymorph in meV per atom: 191.1
Formation energy in eV/atom: -0.046

```
data_PmNdYHg
_chemical_formula_sum 'Pm4 Nd4 Y4 Hg4'
_space_group_name_H-M_alt 'F -4 3 m'
_space_group_IT_number 216
_space_group_name_Hall 'F -4 2 3'
_cell_length_a 7.789
_cell_length_b 7.789
_cell_length_c 7.789
_cell_angle_alpha 90.00
_cell_angle_beta 90.00
_cell_angle_gamma 90.00
loop_
_atom_site_label
_atom_site_type_symbol
_atom_site_fract_x
_atom_site_fract_y
_atom_site_fract_z
_atom_site_occupancy
Pm1 Pm 0.000 0.000 0.000 1
Nd1 Nd 0.250 0.250 0.250 1
Y1 Y 0.250 0.250 0.750 1
Hg1 Hg 0.000 0.000 0.500 1
```

***

| no. | volume (A^3/atom) |
| --- | --- |
| 1 | 33.24 |
| 2 | 33.64 |
| 3 | 29.54 |